1.
PrDy2 after structural relaxation. Source: the Alexandria database, functional PBE.

## Properties
total moment: 0.00 μB per cell
formation energy from the elements: -3 meV/atom

abc: 3.631 3.631 8.935
angles: 101.81 101.81 59.98
Positions (direct):
Pr: 0.000 0.000 0.000
Dy: 0.220 0.220 0.663
Dy: 0.780 0.780 0.337

=====

2.
Pm2PuTcN4 after structural relaxation. Source: the Alexandria database, functional PBE.

## Properties
total moment: 9.94 μB per cell
uncorrected formation energy: -0.85 eV/atom

abc: 6.174 6.174 12.014
angles: 90.00 90.00 147.51
Positions (direct):
Pm: 0.132 0.868 0.541
Pm: 0.132 0.868 0.959
Pm: 0.868 0.132 0.041
Pm: 0.868 0.132 0.459
Pu: 0.376 0.624 0.750
Pu: 0.624 0.376 0.250
Tc: 0.357 0.643 0.250
Tc: 0.643 0.357 0.750
N: 0.060 0.940 0.750
N: 0.229 0.771 0.138
N: 0.229 0.771 0.362
N: 0.500 0.500 0.000
N: 0.500 0.500 0.500
N: 0.771 0.229 0.638
N: 0.771 0.229 0.862
N: 0.940 0.060 0.250

=====

3.
SnMoW2 after structural relaxation. Source: the Alexandria database, functional PBE.

## Properties
total moment: 0.00 μB per cell
formation energy from the elements: 997 meV/atom

abc: 10.224 10.224 10.224
angles: 158.06 158.06 31.23
Positions (direct):
Sn: 0.000 0.000 0.000
Sn: 0.750 0.250 0.500
Mo: 0.250 0.750 0.500
Mo: 0.500 0.500 0.000
W: 0.103 0.625 0.978
W: 0.375 0.353 0.478
W: 0.647 0.125 0.022
W: 0.875 0.897 0.522

=====

4.
Zr2Cu2Sn after structural relaxation. Source: the Alexandria database, functional PBE.

## Properties
total moment: 0.00 μB per cell
formation energy from the elements: 53 meV/atom

abc: 6.156 6.156 6.156
angles: 138.47 138.47 60.18
Positions (direct):
Zr: 0.250 0.750 0.500
Zr: 0.750 0.250 0.500
Cu: 0.104 0.104 0.000
Cu: 0.896 0.896 0.000
Sn: 0.500 0.500 0.000

=====

5.
In2FeTc after structural relaxation. Source: the Alexandria database, functional PBE.

## Properties
total moment: 1.47 μB per cell
formation energy from the elements: 224 meV/atom

abc: 2.986 2.986 8.108
angles: 90.00 90.00 90.00
Positions (direct):
In: 0.000 0.000 0.000
In: 0.500 0.500 0.355
Fe: 0.500 0.500 0.769
Tc: 0.000 0.000 0.605

=====

6.
Pr3In3CoHg2 after structural relaxation. Source: the Alexandria database, functional PBE.

## Properties
total moment: 0.00 μB per cell
formation energy from the elements: -411 meV/atom

abc: 7.797 7.797 4.341
angles: 90.00 90.00 120.00
Positions (direct):
Pr: 0.000 0.614 0.000
Pr: 0.386 0.386 0.000
Pr: 0.614 0.000 0.000
In: 0.000 0.232 0.500
In: 0.232 0.000 0.500
In: 0.768 0.768 0.500
Co: 0.000 0.000 0.000
Hg: 0.333 0.667 0.500
Hg: 0.667 0.333 0.500

=====

7.
In5HgPb after structural relaxation. Source: the Alexandria database, functional PBE.

## Properties
total moment: 0.00 μB per cell
formation energy from the elements: 47 meV/atom

abc: 4.731 4.731 9.069
angles: 90.00 90.00 90.00
Positions (direct):
In: 0.000 0.000 0.000
In: 0.000 0.500 0.278
In: 0.000 0.500 0.722
In: 0.500 0.000 0.278
In: 0.500 0.000 0.722
Hg: 0.500 0.500 0.500
Pb: 0.500 0.500 0.000

=====

8.
CePr2HoPt2 after structural relaxation. Source: the Alexandria database, functional PBE.

## Properties
total moment: 0.88 μB per cell
formation energy from the elements: -766 meV/atom

abc: 8.628 8.628 8.628
angles: 133.03 68.43 133.26
Positions (direct):
Ce: 0.250 0.250 0.000
Ce: 0.750 0.750 0.000
Pr: 0.190 0.239 0.429
Pr: 0.310 0.739 0.048
Pr: 0.690 0.261 0.952
Pr: 0.810 0.761 0.571
Ho: 0.250 0.750 0.500
Ho: 0.750 0.250 0.500
Pt: 0.109 0.752 0.861
Pt: 0.391 0.252 0.642
Pt: 0.609 0.748 0.358
Pt: 0.891 0.248 0.139

=====

9.
YbPPt after structural relaxation. Source: the Alexandria database, functional PBE.

## Properties
total moment: 0.22 μB per cell
formation energy from the elements: -1195 meV/atom

abc: 4.093 4.093 4.054
angles: 90.00 90.00 120.00
Positions (direct):
Yb: 0.000 0.000 0.000
P: 0.667 0.333 0.500
Pt: 0.333 0.667 0.500

=====

10.
Er3Ni after structural relaxation. Source: the Alexandria database, functional PBE.

## Properties
total moment: 0.00 μB per cell
formation energy from the elements: -162 meV/atom

abc: 8.652 8.652 8.652
angles: 97.06 97.06 138.96
Positions (direct):
Er: 0.096 0.402 0.500
Er: 0.108 0.250 0.858
Er: 0.248 0.747 0.902
Er: 0.253 0.154 0.500
Er: 0.391 0.250 0.142
Er: 0.404 0.904 0.307
Er: 0.598 0.097 0.693
Er: 0.654 0.752 0.500
Er: 0.750 0.609 0.859
Er: 0.750 0.892 0.141
Er: 0.846 0.346 0.098
Er: 0.903 0.596 0.500
Ni: 0.250 0.042 0.792
Ni: 0.250 0.459 0.208
Ni: 0.541 0.750 0.791
Ni: 0.958 0.750 0.209

=====

11.
MgTlOF2 after structural relaxation. Source: the Alexandria database, functional PBE.

## Properties
total moment: 0.00 μB per cell
uncorrected formation energy: -2.19 eV/atom

abc: 3.859 3.859 4.457
angles: 90.00 90.00 90.00
Positions (direct):
Mg: 0.000 0.000 0.000
Tl: 0.500 0.500 0.500
O: 0.000 0.000 0.500
F: 0.000 0.500 0.000
F: 0.500 0.000 0.000

=====

12.
CeTl3I7 after structural relaxation. Source: the Alexandria database, functional PBE.

## Properties
total moment: 0.00 μB per cell
uncorrected formation energy: -0.86 eV/atom

abc: 8.285 8.285 9.185
angles: 112.44 112.44 79.24
Positions (direct):
Ce: 0.000 0.000 0.000
Tl: 0.107 0.679 0.420
Tl: 0.414 0.414 0.956
Tl: 0.679 0.107 0.420
I: 0.027 0.629 0.749
I: 0.090 0.090 0.736
I: 0.296 0.296 0.215
I: 0.316 0.835 0.233
I: 0.629 0.027 0.749
I: 0.796 0.796 0.103
I: 0.835 0.316 0.233

=====

13.
Rb4TbU3Se8 after structural relaxation. Source: the Alexandria database, functional PBE.

## Properties
total moment: 9.01 μB per cell
uncorrected formation energy: -1.33 eV/atom

abc: 9.433 9.433 9.433
angles: 53.61 53.61 53.61
Positions (direct):
Rb: 0.000 0.000 0.000
Rb: 0.000 0.500 0.500
Rb: 0.500 0.000 0.500
Rb: 0.500 0.500 0.000
Tb: 0.500 0.500 0.500
U: 0.000 0.000 0.500
U: 0.000 0.500 0.000
U: 0.500 0.000 0.000
Se: 0.233 0.233 0.233
Se: 0.234 0.732 0.732
Se: 0.268 0.268 0.766
Se: 0.268 0.766 0.268
Se: 0.732 0.234 0.732
Se: 0.732 0.732 0.234
Se: 0.766 0.268 0.268
Se: 0.767 0.767 0.767

=====

14.
PrZrSi4 after structural relaxation. Source: the Alexandria database, functional PBE.

## Properties
total moment: 0.00 μB per cell
uncorrected formation energy: -0.49 eV/atom

abc: 7.421 16.168 3.896
angles: 90.00 90.00 90.00
Positions (direct):
Pr: 0.126 0.167 0.000
Pr: 0.374 0.667 0.000
Pr: 0.626 0.333 0.000
Pr: 0.874 0.833 0.000
Zr: 0.128 0.412 0.000
Zr: 0.372 0.912 0.000
Zr: 0.628 0.088 0.000
Zr: 0.872 0.588 0.000
Si: 0.036 0.688 0.500
Si: 0.107 0.946 0.500
Si: 0.139 0.544 0.500
Si: 0.214 0.807 0.500
Si: 0.286 0.307 0.500
Si: 0.361 0.044 0.500
Si: 0.393 0.446 0.500
Si: 0.464 0.188 0.500
Si: 0.536 0.812 0.500
Si: 0.607 0.554 0.500
Si: 0.639 0.956 0.500
Si: 0.714 0.693 0.500
Si: 0.786 0.193 0.500
Si: 0.861 0.456 0.500
Si: 0.893 0.054 0.500
Si: 0.964 0.312 0.500

=====

15.
CsCaP3 after structural relaxation. Source: the Alexandria database, functional PBE.

## Properties
total moment: 0.00 μB per cell
formation energy from the elements: 1282 meV/atom

abc: 5.395 5.395 5.395
angles: 90.00 90.00 90.00
Positions (direct):
Cs: 0.000 0.000 0.000
Ca: 0.500 0.500 0.500
P: 0.000 0.000 0.500
P: 0.000 0.500 0.000
P: 0.500 0.000 0.000

=====

16.
BeRe3 after structural relaxation. Source: the Alexandria database, functional PBE.

## Properties
total moment: 0.00 μB per cell
formation energy from the elements: 108 meV/atom

abc: 2.758 3.828 5.243
angles: 90.00 90.00 90.00
Positions (direct):
Be: 0.000 0.000 0.000
Re: 0.000 0.000 0.500
Re: 0.500 0.500 0.234
Re: 0.500 0.500 0.766

=====

17.
TbSc2InRh4 after structural relaxation. Source: the Alexandria database, functional PBE.

## Properties
total moment: 0.00 μB per cell
formation energy from the elements: -858 meV/atom

abc: 8.033 8.033 8.033
angles: 33.58 33.58 33.58
Positions (direct):
Tb: 0.000 0.000 0.000
Sc: 0.244 0.244 0.244
Sc: 0.756 0.756 0.756
In: 0.500 0.500 0.500
Rh: 0.125 0.125 0.125
Rh: 0.377 0.377 0.377
Rh: 0.623 0.623 0.623
Rh: 0.875 0.875 0.875

=====

18.
AcYGe2Pt5 after structural relaxation. Source: the Alexandria database, functional PBE.

## Properties
total moment: 0.00 μB per cell
formation energy from the elements: -834 meV/atom

abc: 4.435 4.435 8.990
angles: 90.00 90.00 90.00
Positions (direct):
Ac: 0.000 0.000 0.000
Y: 0.000 0.000 0.500
Ge: 0.500 0.500 0.363
Ge: 0.500 0.500 0.637
Pt: 0.000 0.500 0.242
Pt: 0.000 0.500 0.758
Pt: 0.500 0.000 0.242
Pt: 0.500 0.000 0.758
Pt: 0.500 0.500 0.000

=====

19.
Al3Ir after structural relaxation. Source: the Alexandria database, functional PBE.

## Properties
total moment: 0.00 μB per cell
formation energy from the elements: -452 meV/atom

abc: 5.078 5.078 5.078
angles: 145.99 67.16 124.00
Positions (direct):
Al: 0.000 0.000 0.000
Al: 0.397 0.632 0.765
Al: 0.866 0.632 0.235
Ir: 0.447 0.947 0.500